(1)
HgRuBr2, optimized geometry, DFT PBE-GGA; energy relative to the lowest polymorph listed for this composition = 344 meV/atom; raw formation energy = 0.31 eV/atom; density = 7328 kg/m3
1.0
3.7301 0.0000 0.0000
0.0000 6.2538 0.0000
0.0000 0.0000 8.9657
Hg Ru Br
2 2 4
Cartesian
0.0000 0.0000 0.0000
1.8650 3.1269 0.0000
0.0000 3.1269 6.9295
1.8650 0.0000 6.9295
0.0000 0.0000 5.3524
0.0000 3.1269 1.9943
1.8650 0.0000 1.9943
1.8650 3.1269 5.3524

---

(2)
RbCrS2, optimized geometry, DFT PBE-GGA; raw formation energy = -0.72 eV/atom; density = 2948 kg/m3
1.0
7.8403 0.0000 0.0000
0.0000 3.4770 0.0000
-1.5306 0.0000 8.3322
Rb Cr S
2 2 4
Cartesian
0.0000 0.0000 0.0000
0.6461 0.0000 4.0843
2.2406 0.0000 7.7134
4.5621 1.7385 1.1047
0.8106 1.7385 6.8712
3.1440 0.0000 1.5198
3.7318 1.7385 7.3580
6.2443 1.7385 2.3901

---

(3)
ZrH2Cl8, optimized geometry, DFT PBE-GGA; density = 1816 kg/m3; raw total energy = -39.35 eV per formula unit
1.0
7.7138 -4.1436 0.0000
7.7138 4.1436 0.0000
-0.6996 0.0000 5.3920
Zr H Cl
1 2 8
Cartesian
0.0000 0.0000 0.0000
3.4093 0.0000 5.2032
11.3187 0.0000 0.1888
2.1281 0.0000 1.1540
6.7563 2.3482 1.5031
7.9716 2.3482 3.8889
4.5153 0.0000 4.5261
10.2126 0.0000 0.8659
6.7563 -2.3482 1.5031
7.9716 -2.3482 3.8889
12.5999 0.0000 4.2380

---

(4)
Cd2AgTeRh, optimized geometry, DFT PBE-GGA; raw formation energy = 0.48 eV/atom; density = 6994 kg/m3
1.0
5.1077 0.0000 0.0000
0.0000 5.1077 0.0000
0.0000 0.0000 5.1253
Cd Ag Te Rh
2 1 1 1
Cartesian
0.0000 2.5539 0.0000
2.5539 0.0000 0.0000
0.0000 0.0000 2.5626
2.5539 2.5539 2.5626
0.0000 0.0000 0.0000

---

(5)
Li2ThAg3, optimized geometry, DFT PBE-GGA; density = 8154 kg/m3; DFT formation energy = -0.141 eV per atom
1.0
3.3234 0.0000 0.0000
0.0000 3.3234 0.0000
0.0000 0.0000 10.5010
Li Th Ag
2 1 3
Cartesian
0.0000 0.0000 1.5050
0.0000 0.0000 8.9959
0.0000 0.0000 5.2505
1.6617 1.6617 0.0000
1.6617 1.6617 2.9743
1.6617 1.6617 7.5266

---

(6)
SrMn2TeBr, optimized geometry, DFT PBE-GGA; raw formation energy = 0.23 eV/atom; density = 4088 kg/m3
1.0
4.6995 0.0000 0.0000
0.0000 4.6995 0.0000
0.0000 0.0000 7.4497
Sr Mn Te Br
1 2 1 1
Cartesian
0.0000 0.0000 0.0000
0.0000 2.3497 3.7249
2.3497 0.0000 3.7249
2.3497 2.3497 0.0000
2.3497 2.3497 3.7249

---

(7)
SrYTlPt2, optimized geometry, DFT PBE-GGA; density = 8644 kg/m3; DFT formation energy = 0.458 eV per atom
1.0
5.2138 0.0000 0.0000
0.0000 5.2138 0.0000
0.0000 0.0000 5.4491
Sr Y Tl Pt
1 1 1 2
Cartesian
0.0000 0.0000 0.0000
2.6069 2.6069 0.0000
0.0000 0.0000 2.7245
0.0000 2.6069 2.7245
2.6069 0.0000 2.7245

---

(8)
Er5Cd2Ir, optimized geometry, DFT PBE-GGA; density = 9770 kg/m3; DFT formation energy = -0.197 eV per atom
1.0
2.7673 -6.0220 0.0000
2.7673 6.0220 0.0000
0.0000 0.0000 12.7822
Er Cd Ir
10 4 2
Cartesian
2.7673 5.0580 7.7040
2.7673 5.0580 11.4694
2.7673 1.5270 7.1973
2.7673 1.5270 11.9761
2.7673 1.1114 3.1956
2.7673 -1.1114 9.5867
2.7673 -1.5270 0.8061
2.7673 -1.5270 5.5850
2.7673 -5.0580 1.3129
2.7673 -5.0580 5.0783
2.7673 3.8019 1.7514
2.7673 3.8019 4.6397
2.7673 -3.8019 8.1426
2.7673 -3.8019 11.0308
2.7673 3.1291 9.5867
2.7673 -3.1291 3.1956

---

(9)
TlTe2Cl, optimized geometry, DFT PBE-GGA; energy relative to the lowest polymorph listed for this composition = 78 meV/atom; raw formation energy = -0.32 eV/atom; density = 5440 kg/m3
1.0
9.1997 0.0000 0.0000
0.0000 4.2009 0.0000
-1.9231 0.0000 7.8206
Tl Te Cl
2 4 2
Cartesian
0.0000 0.0000 0.0000
4.5998 2.1004 0.0000
-0.9279 2.1004 3.8236
1.6377 2.1004 2.8188
3.6719 0.0000 3.8236
6.2376 0.0000 2.8188
0.9512 0.0000 6.6271
5.5510 2.1004 6.6271

---

(10)
NaP3O, optimized geometry, DFT PBE-GGA; energy relative to the lowest polymorph listed for this composition = 0 meV/atom; raw formation energy = 0.43 eV/atom; density = 2802 kg/m3
1.0
4.2757 0.0000 0.0000
0.0000 4.2757 0.0000
0.0000 0.0000 4.2757
Na P O
1 3 1
Cartesian
0.0000 0.0000 0.0000
0.0000 2.1379 2.1379
2.1379 0.0000 2.1379
2.1379 2.1379 0.0000
2.1379 2.1379 2.1379

---

(11)
Ca5Bi2As2, optimized geometry, DFT PBE-GGA; density = 4778 kg/m3; DFT formation energy = -0.966 eV per atom
1.0
7.9742 -4.2011 0.0000
7.9742 4.2011 0.0000
0.0000 0.0000 7.9692
Ca Bi As
10 4 4
Cartesian
0.0000 0.0000 0.0000
6.0862 2.8694 5.1721
6.0862 1.3316 1.1875
9.8622 2.8694 5.1721
9.8622 1.3316 1.1875
7.9742 0.0000 3.9846
6.0862 -1.3316 6.7817
6.0862 -2.8694 2.7971
9.8622 -1.3316 6.7817
9.8622 -2.8694 2.7971
3.4189 0.0000 0.0000
4.5553 0.0000 3.9846
11.3931 0.0000 3.9846
12.5296 0.0000 0.0000
7.9742 2.9154 2.7294
7.9742 1.2856 6.7140
7.9742 -1.2856 1.2552
7.9742 -2.9154 5.2398

---

(12)
TiCu2Ge, optimized geometry, DFT PBE-GGA; density = 6742 kg/m3; DFT formation energy = 0.020 eV per atom
1.0
3.6125 0.0000 0.0000
0.0000 3.6125 0.0000
0.0000 0.0000 18.6906
Ti Cu Ge
4 8 4
Cartesian
0.0000 0.0000 0.0000
0.0000 1.8063 4.6727
1.8063 0.0000 14.0180
1.8063 1.8063 9.3453
0.8771 0.9031 11.6816
0.9031 2.6834 16.3543
0.9031 2.7354 7.0090
0.9291 0.9031 2.3363
2.6834 2.7094 2.3363
2.7094 0.8771 7.0090
2.7094 0.9291 16.3543
2.7354 2.7094 11.6816
0.0000 0.0000 9.3453
0.0000 1.8063 14.0180
1.8063 0.0000 4.6727
1.8063 1.8063 0.0000

---

Among the records above, which one has the lowest density?
ZrH2Cl8